[1]
VASP calculation (PBE) on crystalline TaTe2Br at its relaxed geometry. Values from VASP.

Its symmetry is No. 44. The calculation puts the mass density at 6753 kg/m3. Its total energy is -4.96 eV/atom. Its total moment is 0.000 μB per cell.

The structure in Quantum ESPRESSO input format:
```
&SYSTEM
  ibrav = 0, nat = 4, ntyp = 3
/
ATOMIC_SPECIES
Te 127.60 Te.upf
Br 79.90 Br.upf
Ta 180.95 Ta.upf
CELL_PARAMETERS angstrom
-7.4731 1.7129 -2.4105
-4.1465 -1.4277 -6.7349
4.1012 -1.7195 6.6944
ATOMIC_POSITIONS angstrom
Te -1.1809 0.0290 -0.9294
Te -4.3456 0.0620 0.0486
Br -4.7095 0.1156 -3.7067
Ta -3.0922 -1.4982 -2.4362
```

=====

[2]
VASP calculation (PBE) on crystalline Ta2TeBr at its relaxed geometry. Values from VASP.

Its symmetry is No. 8. The calculation puts the mass density at 9693 kg/m3. Its total energy is -7.35 eV/atom. Its total moment is 0.000 μB per cell.

The structure in Quantum ESPRESSO input format:
```
&SYSTEM
  ibrav = 0, nat = 8, ntyp = 3
/
ATOMIC_SPECIES
Te 127.60 Te.upf
Br 79.90 Br.upf
Ta 180.95 Ta.upf
CELL_PARAMETERS angstrom
10.0868 0.0000 -0.0081
0.0000 3.4031 0.0000
-0.5607 0.0000 5.6839
ATOMIC_POSITIONS angstrom
Te 9.0955 0.0000 4.1951
Te 9.3759 1.7015 1.3532
Br 3.3163 0.0000 0.9631
Br 3.0359 1.7015 3.8050
Ta 7.2628 0.0000 2.0915
Ta 6.9824 1.7015 4.9334
Ta 4.8007 0.0000 4.9405
Ta 5.0810 1.7015 2.0985
```

=====

> What is the mass density in the first record?

6753 kg/m3